Version 1
TiAgPd2 after structural relaxation, computed with PBE.

Results
Symmetry ... No. 63
Fermi-level density of states ... 1.0115 states/eV/atom

```
TiAgPd2
1.0
2.7787 0.0000 0.0000
0.0000 4.6946 0.0000
-1.3894 0.0000 10.5802
Ti Ag Pd
2 2 4
direct
0.7058 0.7500 0.4115
0.2942 0.2500 0.5885
0.9649 0.7500 0.9298
0.0351 0.2500 0.0702
0.8244 0.7500 0.6487
0.1013 0.7500 0.2026
0.1756 0.2500 0.3513
0.8987 0.2500 0.7974
```

=====

Version 2
TiAgPd2 after structural relaxation, computed with PBE.

Results
Symmetry ... No. 225
Fermi-level density of states ... 0.9011 states/eV/atom

```
TiAgPd2
1.0
-1.0401 0.1061 4.3717
-2.9213 -2.9702 1.6880
1.4406 -3.2651 2.7329
Pd Ag Ti
2 1 1
direct
0.2500 0.2500 0.2500
0.7500 0.7500 0.7500
0.0000 0.0000 0.0000
0.5000 0.5000 0.5000
```

=====

Version 3
TiAgPd2 after structural relaxation, computed with PBE.

Results
Symmetry ... No. 166
Fermi-level density of states ... 0.5898 states/eV/atom

```
TiAgPd2
1.0
-2.8015 0.2759 -0.6144
-1.1772 -1.5836 -2.0997
-3.2745 -6.9113 5.0716
Pd Ag Ti
2 1 1
direct
0.7443 0.7443 0.7672
0.2557 0.2557 0.2328
0.5000 0.5000 0.5000
0.0000 0.0000 0.0000
```

=====

Energies relative to the most stable structure are version 1 155; version 2 0; version 3 27, reported in meV per atom.

=====

Version 1
TiAgPd2 after structural relaxation, computed with PBE.

Results
Symmetry ... No. 123
Fermi-level density of states ... 0.6672 states/eV/atom

```
TiAgPd2
1.0
3.1654 0.0000 0.0000
0.0000 3.1654 0.0000
0.0000 0.0000 6.5053
Pd Ag Ti
2 1 1
direct
0.0000 0.0000 0.7734
0.0000 0.0000 0.2266
0.5000 0.5000 0.5000
0.5000 0.5000 0.0000
```

=====

Version 2
TiAgPd2 after structural relaxation, computed with PBE.

Results
Symmetry ... No. 8
Fermi-level density of states ... 0.6459 states/eV/atom

```
TiAgPd2
1.0
-0.0121 2.7883 -0.7329
-2.0971 1.7371 0.9470
4.2187 3.4595 7.4009
Ti Ag Pd
1 1 2
direct
0.6667 0.6667 0.0000
0.4997 0.4997 0.5001
0.0754 0.0754 0.7676
0.2582 0.2582 0.2323
```

=====

Energies relative to the most stable structure are version 1 0; version 2 86, reported in meV per atom.

=====

Version 1
TiAgPd2 after structural relaxation, computed with PBE.

Results
Symmetry ... No. 123
Fermi-level density of states ... 1.1231 states/eV/atom

```
TiAgPd2
1.0
-2.7542 -0.1724 -2.5955
2.7823 -0.8375 -2.8968
-0.4419 -4.0121 0.7354
Pd Ag Ti
2 1 1
direct
0.0000 0.0000 0.5000
0.0000 0.5000 0.0000
0.5000 0.5000 0.5000
0.5000 0.0000 0.0000
```

=====

Version 2
TiAgPd2 after structural relaxation, computed with PBE.

Results
Symmetry ... No. 122
Fermi-level density of states ... 0.5953 states/eV/atom

```
TiAgPd2
1.0
7.0790 0.0000 0.0000
0.0000 7.0790 0.0000
3.5395 3.5395 2.7936
Pd Ag Ti
4 2 2
direct
0.5954 0.1250 0.2500
0.1546 0.6250 0.2500
0.3750 0.4046 0.7500
0.8750 0.8454 0.7500
0.0000 0.0000 0.0000
0.7500 0.2500 0.5000
0.5000 0.5000 0.0000
0.2500 0.7500 0.5000
```

=====

Energies relative to the most stable structure are version 1 0; version 2 248, reported in meV per atom.

=====

Version 1
TiAg2Pd after structural relaxation, computed with PBE.

Results
Symmetry ... No. 99
Fermi-level density of states ... 0.5354 states/eV/atom

```
TiAg2Pd
1.0
-2.8136 0.3951 -0.6754
0.2895 -1.8163 -2.2685
-1.9787 -6.1307 4.6561
Ti Ag Pd
1 2 1
direct
0.5000 0.5000 0.7323
0.0000 0.0000 0.9936
0.5000 0.5000 0.2577
0.0000 0.0000 0.5165
```

=====

Version 2
TiAg2Pd after structural relaxation, computed with PBE.

Results
Symmetry ... No. 225
Fermi-level density of states ... 1.4498 states/eV/atom

```
TiAg2Pd
1.0
0.0000 3.2254 3.2254
3.2254 0.0000 3.2254
3.2254 3.2254 0.0000
Pd Ag Ti
1 2 1
direct
0.5000 0.5000 0.5000
0.2500 0.2500 0.2500
0.7500 0.7500 0.7500
0.0000 0.0000 0.0000
```

=====

Energies relative to the most stable structure are version 1 0; version 2 165, reported in meV per atom.

=====

Version 1
TiAg2Pd2 after structural relaxation, computed with PBE.

Results
Symmetry ... No. 127
Fermi-level density of states ... 0.7888 states/eV/atom

```
TiAg2Pd2
1.0
-1.6179 3.3948 5.3911
-5.9584 -2.7752 -0.0406
1.4037 -3.0480 2.3406
Pd Ag Ti
4 4 2
direct
0.3567 0.8567 0.0000
0.8567 0.6433 0.0000
0.6433 0.1433 0.0000
0.1433 0.3567 0.0000
0.1591 0.6591 0.5000
0.6591 0.8409 0.5000
0.8409 0.3409 0.5000
0.3409 0.1591 0.5000
0.0000 0.0000 0.0000
0.5000 0.5000 0.0000
```

=====

Version 2
TiAg2Pd2 after structural relaxation, computed with PBE.

Results
Symmetry ... No. 127
Fermi-level density of states ... 1.0316 states/eV/atom

```
TiAg2Pd2
1.0
7.6419 0.0000 0.0000
0.0000 7.6419 0.0000
0.0000 0.0000 2.9771
Pd Ag Ti
4 4 2
direct
0.1711 0.6711 0.5000
0.6711 0.8289 0.5000
0.8289 0.3289 0.5000
0.3289 0.1711 0.5000
0.3724 0.8724 0.0000
0.8724 0.6276 0.0000
0.6276 0.1276 0.0000
0.1276 0.3724 0.0000
0.0000 0.0000 0.0000
0.5000 0.5000 0.0000
```

=====

Energies relative to the most stable structure are version 1 0; version 2 133, reported in meV per atom.

=====

Version 1
TlAg2Pd3 after structural relaxation, computed with PBE.

Results
Symmetry ... No. 12
Fermi-level density of states ... 0.2746 states/eV/atom

```
TlAg2Pd3
1.0
4.2480 0.0000 0.8021
2.1240 6.5083 0.4011
2.9055 0.0000 8.0874
Tl Ag Pd
2 4 6
direct
0.6575 0.6849 0.0000
0.3425 0.3151 0.0000
0.0000 0.0000 0.0000
0.5000 0.0000 0.5000
0.1676 0.6648 0.5000
0.8324 0.3352 0.5000
0.4173 0.6635 0.7511
0.2417 0.0000 0.2585
0.5827 0.3365 0.2489
0.9192 0.6635 0.2489
0.0808 0.3365 0.7511
0.7583 0.0000 0.7415
```

=====

Version 2
TlAg2Pd3 after structural relaxation, computed with PBE.

Results
Symmetry ... No. 65
Fermi-level density of states ... 0.3349 states/eV/atom

```
TlAg2Pd3
1.0
-3.2238 -1.5444 1.1576
0.7067 -3.3983 -2.5658
2.7707 -1.2496 6.0490
Tl Ag Pd
1 2 3
direct
0.0000 0.0000 0.0000
0.0000 0.3283 0.6565
0.0000 0.6717 0.3435
0.5000 0.5000 0.0000
0.5000 0.8345 0.6691
0.5000 0.1655 0.3309
```

=====

Energies relative to the most stable structure are version 1 11; version 2 0, reported in meV per atom.

=====

Version 1
Tl2AgPd3 after structural relaxation, computed with PBE.

Results
Symmetry ... No. 65
Fermi-level density of states ... 0.3174 states/eV/atom

```
Tl2AgPd3
1.0
-0.0434 -3.5290 -2.3413
-0.2778 -4.3619 6.5795
-6.4189 4.1310 -2.2769
Tl Ag Pd
4 2 6
direct
0.3419 0.3418 0.6838
0.6581 0.1582 0.3162
0.3419 0.8418 0.6838
0.6581 0.6582 0.3162
0.0000 0.5000 0.0000
0.0000 0.0000 0.0000
0.5000 0.2500 0.0000
0.5000 0.7500 0.0000
0.8334 0.0833 0.6667
0.1666 0.4167 0.3333
0.1666 0.9167 0.3333
0.8334 0.5833 0.6667
```

=====

Version 2
Tl2AgPd3 after structural relaxation, computed with PBE.

Results
Symmetry ... No. 65
Fermi-level density of states ... 0.3681 states/eV/atom

```
Tl2AgPd3
1.0
-0.1135 4.7004 -0.9991
-3.8388 0.9905 -6.4668
-5.4232 0.5724 3.3068
Tl Ag Pd
4 2 6
direct
0.0000 0.0000 0.0000
0.0000 0.0000 0.5000
0.3329 0.3341 0.5000
0.6671 0.6659 0.5000
0.3290 0.3421 0.0000
0.6710 0.6579 0.0000
0.8345 0.3312 0.7508
0.4998 0.0000 0.2452
0.1655 0.6688 0.2492
0.8344 0.3312 0.2492
0.1656 0.6688 0.7508
0.5002 0.0000 0.7548
```

=====

Energies relative to the most stable structure are version 1 0; version 2 27, reported in meV per atom.

=====

Version 1
TlAg2Pd6 after structural relaxation, computed with PBE.

Results
Symmetry ... No. 12
Fermi-level density of states ... 0.5879 states/eV/atom

```
TlAg2Pd6
1.0
-3.1257 1.0237 -3.3832
-1.1570 -2.4123 3.6294
-1.4709 7.3991 3.5978
Tl Ag Pd
1 2 6
direct
0.0000 0.0000 0.5000
0.3403 0.6806 0.7327
0.6597 0.3194 0.2673
0.6708 0.3416 0.9437
0.3292 0.6584 0.0563
0.9936 0.9872 0.1625
0.3295 0.6589 0.3891
0.0064 0.0128 0.8375
0.6705 0.3411 0.6109
```

=====

Version 2
TlAg2Pd6 after structural relaxation, computed with PBE.

Results
Symmetry ... No. 12
Fermi-level density of states ... 0.6691 states/eV/atom

```
TlAg2Pd6
1.0
-0.3709 -2.2865 1.6422
-2.5312 -4.0176 -6.1655
8.0970 1.1708 0.8243
Tl Ag Pd
1 2 6
direct
0.0000 0.0000 0.0000
0.6695 0.6669 0.3339
0.3305 0.3331 0.6661
0.1690 0.3544 0.3347
0.8310 0.0197 0.6653
0.8310 0.6456 0.6653
0.5000 0.3153 0.0000
0.1690 0.9803 0.3347
0.5000 0.6847 0.0000
```

=====

Energies relative to the most stable structure are version 1 0; version 2 108, reported in meV per atom.

=====

Version 1
TlAgPd3 after structural relaxation, computed with PBE.

Results
Symmetry ... No. 15
Fermi-level density of states ... 0.4874 states/eV/atom

```
TlAgPd3
1.0
7.6880 -0.0038 -0.0030
1.9056 6.6676 -0.9465
1.9056 0.6467 6.7033
Tl Ag Pd
4 4 12
direct
0.2500 0.8849 0.1151
0.7500 0.1151 0.8849
0.2500 0.3622 0.6378
0.7500 0.6378 0.3622
0.8391 0.4817 0.7329
0.6609 0.2671 0.5183
0.1609 0.5183 0.2671
0.3391 0.7329 0.4817
0.6423 0.7781 0.0234
0.8577 0.9766 0.2219
0.3577 0.2219 0.9766
0.1423 0.0234 0.7781
0.9537 0.3276 0.0800
0.5463 0.9200 0.6724
0.0463 0.6724 0.9200
0.4537 0.0800 0.3276
0.4439 0.5751 0.8284
0.0561 0.1716 0.4249
0.5561 0.4249 0.1716
0.9439 0.8284 0.5751
```

=====

Version 2
TlAgPd3 after structural relaxation, computed with PBE.

Results
Symmetry ... No. 2
Fermi-level density of states ... 0.4226 states/eV/atom

```
TlAgPd3
1.0
-3.9353 1.2728 2.6185
3.2902 -6.1555 2.7874
4.3997 0.7142 4.0851
Tl Ag Pd
2 2 6
direct
0.2730 0.6757 0.6539
0.7270 0.3243 0.3461
0.2955 0.9905 0.1309
0.7045 0.0095 0.8691
0.0744 0.2936 0.0680
0.3828 0.5866 0.2513
0.1977 0.1346 0.5930
0.9256 0.7064 0.9320
0.6172 0.4134 0.7487
0.8023 0.8654 0.4070
```

=====

Version 3
TlAgPd3 after structural relaxation, computed with PBE.

Results
Symmetry ... No. 221
Fermi-level density of states ... 0.4056 states/eV/atom

```
TlAgPd3
1.0
4.9744 0.0000 0.0000
0.0000 4.9744 0.0000
0.0000 0.0000 4.9744
Tl Pd Ag
1 3 1
direct
0.5000 0.5000 0.5000
0.0000 0.5000 0.0000
0.0000 0.0000 0.5000
0.5000 0.0000 0.0000
0.0000 0.0000 0.0000
```

=====

Energies relative to the most stable structure are version 1 0; version 2 41; version 3 850, reported in meV per atom.

=====

Version 1
Tl2AgPd2 after structural relaxation, computed with PBE.

Results
Symmetry ... No. 71
Fermi-level density of states ... 0.4596 states/eV/atom

```
Tl2AgPd2
1.0
-3.2121 2.9250 -0.9615
-3.4068 -1.6442 -3.9160
-4.9509 -1.4923 1.7048
Tl Ag Pd
2 1 2
direct
0.8006 0.6994 0.6994
0.1994 0.3006 0.3006
0.0000 0.0000 0.0000
0.5000 0.7317 0.2683
0.5000 0.2683 0.7317
```

=====

Version 2
Tl2AgPd2 after structural relaxation, computed with PBE.

Results
Symmetry ... No. 139
Fermi-level density of states ... 0.4147 states/eV/atom

```
Tl2AgPd2
1.0
3.8942 0.0000 0.0000
0.0000 3.8942 0.0000
1.9471 1.9471 7.2313
Tl Pd Ag
2 2 1
direct
0.3916 0.3916 0.2167
0.6084 0.6084 0.7833
0.7500 0.2500 0.5000
0.2500 0.7500 0.5000
0.0000 0.0000 0.0000
```

=====

Version 3
Tl2AgPd2 after structural relaxation, computed with PBE.

Results
Symmetry ... No. 127
Fermi-level density of states ... 0.4170 states/eV/atom

```
Tl2AgPd2
1.0
-6.7064 3.9436 -1.2757
0.9879 -0.8358 -7.7769
-1.6545 -2.7847 0.0891
Tl Pd Ag
4 4 2
direct
0.3415 0.8415 0.0000
0.8415 0.6585 0.0000
0.6585 0.1585 0.0000
0.1585 0.3415 0.0000
0.1393 0.6393 0.5000
0.6393 0.8607 0.5000
0.8607 0.3607 0.5000
0.3607 0.1393 0.5000
0.0000 0.0000 0.0000
0.5000 0.5000 0.0000
```

=====

Energies relative to the most stable structure are version 1 0; version 2 134; version 3 45, reported in meV per atom.